(1)
Below is a relaxed K3ZnAg8 crystal, with properties calculated at the GGA-PBE level.

## Properties
Density of states at the Fermi level = 15.49 states/eV/cell
Crystal system = trigonal
DFT formation energy = 1.4 kcal/mol of atoms
Raw total energy = -2.220 eV/atom

abc: 5.8481 5.8481 28.4335
angles: 90.00 90.00 120.00
Space group R3m (No. 160, hexagonal axes)
Asymmetric unit:
K 0.0000 0.0000 0.0000
K 0.0000 0.0000 0.1276
K 0.0000 0.0000 0.6189
Zn 0.0000 0.0000 0.4850
Ag 0.0000 0.0000 0.3126
Ag 0.0000 0.0000 0.8136
Ag 0.0035 0.5018 0.0657
Ag 0.1672 0.3344 0.8940

***

(2)
Below is a relaxed KZn2Ag crystal, with properties calculated at the GGA-PBE level.

## Properties
Density of states at the Fermi level = 2.45 states/eV/cell
Crystal system = orthorhombic
DFT formation energy = 4.8 kcal/mol of atoms
Raw total energy = -1.418 eV/atom

abc: 3.000 5.612 10.675
angles: 90.00 90.00 90.00
Space group Imm2 (No. 44)
Asymmetric unit:
K 0.000 0.000 0.000
Zn 0.000 0.000 0.493
Zn 0.000 0.500 0.790
Ag 0.000 0.500 0.204

***

(3)
Below is a relaxed K2ZnAg crystal, with properties calculated at the GGA-PBE level.

## Properties
Density of states at the Fermi level = 2.97 states/eV/cell
Crystal system = monoclinic
DFT formation energy = 1.5 kcal/mol of atoms
Raw total energy = -1.514 eV/atom

abc: 13.297 3.975 5.800
angles: 90.00 115.76 90.00
Space group Cm (No. 8)
Asymmetric unit:
K 0.000 0.000 0.000
K 0.199 0.000 0.698
Zn 0.422 0.000 0.423
Ag 0.275 0.500 0.275

***

Number 1: magnetic moment 0.0 μB/cell. Number 2: magnetic moment 0.0 μB/cell. Number 3: magnetic moment 0.0 μB/cell.